Entry from Alexandria: crystalline CrAs2Ir at its relaxed geometry (PBE-GGA).

Its formation energy is 0.6 eV/f.u. The polymorph energy (0 for the lowest one) is 4.45 kcal/mol of atoms. As for the density of states at the Fermi level: 4.41 states/eV/f.u.

The space group is Immm (No. 71) and the conventional cell measures 3.6757, 3.7182 and 11.4310 Å, with angles of 90.00, 90.00 and 90.00 degrees. The asymmetric unit holds Cr at (0.0000, 0.0000, 0.0000), As at (0.0000, 0.5000, 0.1536) and Ir at (0.0000, 0.0000, 0.5000).

Entry from Alexandria: crystalline Tb3AlTl3Se8 at its relaxed geometry (PBE-GGA).

As for the density of states at the Fermi level: 5.57 states/eV/f.u. The value obtained for the energy relative to the elements, uncorrected is -1.184 eV/atom.

The space group is C2/m (No. 12) and the conventional cell measures 14.2626, 8.2326 and 9.0117 Å, with angles of 90.00, 121.92 and 90.00 degrees. The asymmetric unit holds Tb at (0.0000, 0.0000, 0.0000), Tb at (0.2500, 0.2500, 0.0000), Al at (0.0000, 0.5000, 0.0000), Tl at (0.0000, 0.5000, 0.5000), Tl at (0.2500, 0.2500, 0.5000), Se at (0.0116, 0.2705, 0.8056), Se at (0.2177, 0.5000, 0.1944) and Se at (0.2367, 0.0000, 0.2098).